VASP calculation (PBEsol) on a relaxed structure of CdFeCoCl2.

Computed properties:
E_form (uncorrected), eV/atom: 0.587
E_tot, eV for the cell shown: -19.0
Symmetry: No. 123

a b c (Å): 4.3418 4.3418 5.3250
angles (deg): 90.00 90.00 90.00
With the nearest neighbours (Å) after each atom.
Sites, in units of the cell vectors:
Cl 0.0000 0.5000 0.0000  2 Co 2.17
Cl 0.5000 0.0000 0.0000  2 Co 2.17
Cd 0.0000 0.0000 0.5000  2 Co 2.66
Fe 0.5000 0.5000 0.5000  4 Cd 3.07, 8 Cl 3.44
Co 0.0000 0.0000 0.0000  4 Cl 2.17